Entry 1:
# HfMgS3, relaxed, DFT GGA-PBE
data_HfMgS3
_space_group_name_H-M_alt 'P m -3 m'
_space_group_IT_number 221
_space_group_name_Hall '-P 4 2 3'
_cell_length_a 4.618
_cell_length_b 4.618
_cell_length_c 4.618
_cell_angle_alpha 90.00
_cell_angle_beta 90.00
_cell_angle_gamma 90.00
loop_
_atom_site_label
_atom_site_type_symbol
_atom_site_fract_x
_atom_site_fract_y
_atom_site_fract_z
_atom_site_occupancy
Hf1 Hf 0.000 0.000 0.000 1
Mg1 Mg 0.500 0.500 0.500 1
S1 S 0.000 0.500 0.500 1
# **Formation energy without anion corrections**: -148 meV per atom
# **Calculated volume**: 19.69 Å³ per atom
# **Crystal system**: cubic
# **Total moment**: 0.00 μB/cell
# **Offset from the most stable computed form**: 1238.3 meV/atom
# **E_tot**: -4.93 eV per atom

=====

Entry 2:
# Si2RhS6, relaxed, DFT GGA-PBE
data_Si2RhS6
_space_group_name_H-M_alt 'C 1 2/c 1'
_space_group_IT_number 15
_space_group_name_Hall '-C 2yc'
_cell_length_a 11.277
_cell_length_b 10.337
_cell_length_c 6.094
_cell_angle_alpha 90.00
_cell_angle_beta 101.57
_cell_angle_gamma 90.00
loop_
_atom_site_label
_atom_site_type_symbol
_atom_site_fract_x
_atom_site_fract_y
_atom_site_fract_z
_atom_site_occupancy
Si1 Si 0.196 0.083 0.331 1
Rh1 Rh 0.000 0.400 0.250 1
S1 S 0.107 0.414 0.630 1
S2 S 0.127 0.087 0.636 1
S3 S 0.130 0.247 0.132 1
# **Formation energy without anion corrections**: -368 meV per atom
# **Calculated volume**: 19.33 Å³ per atom
# **Crystal system**: monoclinic
# **Total moment**: 0.01 μB/cell
# **E_tot**: -5.14 eV per atom

=====

Entry 3:
# Mn3FeSi, relaxed, DFT GGA-PBE
data_Mn3FeSi
_space_group_name_H-M_alt 'P m -3 m'
_space_group_IT_number 221
_space_group_name_Hall '-P 4 2 3'
_cell_length_a 4.269
_cell_length_b 4.269
_cell_length_c 4.269
_cell_angle_alpha 90.00
_cell_angle_beta 90.00
_cell_angle_gamma 90.00
loop_
_atom_site_label
_atom_site_type_symbol
_atom_site_fract_x
_atom_site_fract_y
_atom_site_fract_z
_atom_site_occupancy
Mn1 Mn 0.000 0.000 0.500 1
Fe1 Fe 0.000 0.000 0.000 1
Si1 Si 0.500 0.500 0.500 1
# **Formation energy without anion corrections**: 986 meV per atom
# **Calculated volume**: 15.56 Å³ per atom
# **Crystal system**: cubic
# **Total moment**: 7.37 μB/cell
# **E_tot**: -7.29 eV per atom

=====

Entry 4:
# MgTa3Zn, relaxed, DFT GGA-PBE
data_MgTa3Zn
_space_group_name_H-M_alt 'P m -3 m'
_space_group_IT_number 221
_space_group_name_Hall '-P 4 2 3'
_cell_length_a 4.739
_cell_length_b 4.739
_cell_length_c 4.739
_cell_angle_alpha 90.00
_cell_angle_beta 90.00
_cell_angle_gamma 90.00
loop_
_atom_site_label
_atom_site_type_symbol
_atom_site_fract_x
_atom_site_fract_y
_atom_site_fract_z
_atom_site_occupancy
Mg1 Mg 0.000 0.000 0.000 1
Ta1 Ta 0.000 0.500 0.500 1
Zn1 Zn 0.500 0.500 0.500 1
# **Calculated volume**: 21.29 Å³ per atom
# **Crystal system**: cubic
# **Calculated formation energy**: 1234 meV/atom
# **Total moment**: 0.00 μB/cell
# **Offset from the most stable computed form**: 0.0 meV/atom
# **E_tot**: -6.45 eV per atom

=====

Entry 5:
# LaNb3Ge, relaxed, DFT GGA-PBE
data_LaNb3Ge
_space_group_name_H-M_alt 'P m -3 m'
_space_group_IT_number 221
_space_group_name_Hall '-P 4 2 3'
_cell_length_a 4.939
_cell_length_b 4.939
_cell_length_c 4.939
_cell_angle_alpha 90.00
_cell_angle_beta 90.00
_cell_angle_gamma 90.00
loop_
_atom_site_label
_atom_site_type_symbol
_atom_site_fract_x
_atom_site_fract_y
_atom_site_fract_z
_atom_site_occupancy
La1 La 0.000 0.000 0.000 1
Nb1 Nb 0.000 0.500 0.500 1
Ge1 Ge 0.500 0.500 0.500 1
# **Calculated volume**: 24.09 Å³ per atom
# **Crystal system**: cubic
# **Calculated formation energy**: 617 meV/atom
# **Total moment**: 0.00 μB/cell
# **Offset from the most stable computed form**: 0.0 meV/atom
# **E_tot**: -7.33 eV per atom

=====

Entry 6:
# NaAc2Pb2, relaxed, DFT GGA-PBE
data_NaAc2Pb2
_space_group_name_H-M_alt 'I b a m'
_space_group_IT_number 72
_space_group_name_Hall '-I 2 2c'
_cell_length_a 8.877
_cell_length_b 13.179
_cell_length_c 6.800
_cell_angle_alpha 90.00
_cell_angle_beta 90.00
_cell_angle_gamma 90.00
loop_
_atom_site_label
_atom_site_type_symbol
_atom_site_fract_x
_atom_site_fract_y
_atom_site_fract_z
_atom_site_occupancy
Na1 Na 0.000 0.000 0.250 1
Ac1 Ac 0.154 0.362 0.000 1
Pb1 Pb 0.232 0.383 0.500 1
# **Calculated volume**: 39.78 Å³ per atom
# **Crystal system**: orthorhombic
# **Calculated formation energy**: -308 meV/atom
# **Total moment**: 0.00 μB/cell
# **Offset from the most stable computed form**: 122.0 meV/atom
# **E_tot**: -3.70 eV per atom

=====

Entry 7:
# TaCo2Se, relaxed, DFT GGA-PBE
data_TaCo2Se
_space_group_name_H-M_alt 'R -3 m'
_space_group_IT_number 166
_space_group_name_Hall '-R 3 2"'
_cell_length_a 3.0936
_cell_length_b 3.0936
_cell_length_c 21.6371
_cell_angle_alpha 90.00
_cell_angle_beta 90.00
_cell_angle_gamma 120.00
loop_
_atom_site_label
_atom_site_type_symbol
_atom_site_fract_x
_atom_site_fract_y
_atom_site_fract_z
_atom_site_occupancy
Ta1 Ta 0.0000 0.0000 0.0000 1
Co1 Co 0.0000 0.0000 0.2515 1
Se1 Se 0.0000 0.0000 0.5000 1
# **Formation energy without anion corrections**: 181 meV per atom
# **Calculated volume**: 14.94 Å³ per atom
# **Crystal system**: trigonal
# **Total moment**: 0.53 μB/cell
# **E_tot**: -7.21 eV per atom

=====

Entry 8:
# SiRuO2, relaxed, DFT GGA-PBE
data_SiRuO2
_space_group_name_H-M_alt 'I -4 2 d'
_space_group_IT_number 122
_space_group_name_Hall 'I -4 2bw'
_cell_length_a 4.986
_cell_length_b 4.986
_cell_length_c 7.890
_cell_angle_alpha 90.00
_cell_angle_beta 90.00
_cell_angle_gamma 90.00
loop_
_atom_site_label
_atom_site_type_symbol
_atom_site_fract_x
_atom_site_fract_y
_atom_site_fract_z
_atom_site_occupancy
Si1 Si 0.000 0.000 0.000 1
Ru1 Ru 0.000 0.000 0.500 1
O1 O 0.087 0.250 0.125 1
# **Formation energy without anion corrections**: -759 meV per atom
# **Calculated volume**: 12.26 Å³ per atom
# **Crystal system**: tetragonal
# **Total moment**: 9.03 μB/cell
# **E_tot**: -6.91 eV per atom